First-principles (PBE) data for a relaxed structure of NdSmPu4, as listed in Alexandria via LeMat-Bulk.

abc: 6.2202 6.2202 6.2202
angles: 60.00 60.00 60.00
Closest atoms and distances in Å follow each position.
Fractional coordinates of all 6 atoms:
Pu 0.6250 0.6250 0.1249  6 Pu 3.11
Pu 0.1249 0.6250 0.6250  6 Pu 3.11
Pu 0.6250 0.6250 0.6250  6 Pu 3.11
Pu 0.6250 0.1249 0.6250  6 Pu 3.11
Nd 0.2500 0.2500 0.2500  12 Pu 3.65, 4 Sm 3.81
Sm 0.0000 0.0000 0.0000  12 Pu 3.65, 4 Nd 3.81

V = 28.36 Å³/atom
DFT total energy = -65.3 eV per cell
energy of formation from the pure elements = 0.24 eV/atom

***

First-principles (PBE) data for a relaxed structure of TmZn2GaNi2, as listed in Alexandria via LeMat-Bulk.

abc: 4.3741 4.3741 5.4700
angles: 90.00 90.00 90.00
Closest atoms and distances in Å follow each position.
Fractional coordinates of all 6 atoms:
Tm 0.0000 0.0000 0.5000  2 Ga 2.74
Ni 0.5000 0.0000 0.0000  2 Ga 2.19
Ni 0.0000 0.5000 0.0000  2 Ga 2.19
Ga 0.0000 0.0000 0.0000  4 Ni 2.19
Zn 0.5000 0.5000 0.7404  4 Ni 2.61, 2 Zn 2.63-2.84
Zn 0.5000 0.5000 0.2596  4 Ni 2.61, 2 Zn 2.63-2.84

V = 17.44 Å³/atom
DFT total energy = -22.2 eV per cell
energy of formation from the pure elements = -0.10 eV/atom

***

First-principles (PBE) data for a relaxed structure of Li4PmGa, as listed in Alexandria via LeMat-Bulk.

abc: 5.4350 5.4350 5.4350
angles: 60.00 60.00 60.00
Closest atoms and distances in Å follow each position.
Fractional coordinates of all 6 atoms:
Li 0.1193 0.6269 0.6269  6 Li 2.68-2.76
Li 0.6269 0.6269 0.6269  6 Li 2.68-2.76
Li 0.6269 0.1193 0.6269  6 Li 2.68-2.76
Li 0.6269 0.6269 0.1193  6 Li 2.68-2.76
Ga 0.0000 0.0000 0.0000  12 Li 3.18, 4 Pm 3.33
Pm 0.2500 0.2500 0.2500  12 Li 3.19, 4 Ga 3.33

V = 18.92 Å³/atom
DFT total energy = -16.0 eV per cell
energy of formation from the pure elements = -0.09 eV/atom

***

First-principles (PBE) data for a relaxed structure of Mg2ZnSnF8, as listed in Alexandria via LeMat-Bulk.

abc: 4.9648 4.9611 6.5741
angles: 90.01 90.01 88.93
Closest atoms and distances in Å follow each position.
Fractional coordinates of all 12 atoms:
F 0.3070 0.3066 0.0000  2 Mg 2.07, 1 Zn 2.17
F 0.6690 0.6694 0.5001  2 Mg 2.10, 1 Sn 2.34
F 0.2121 0.7874 0.2183  1 Mg 2.00, 1 Zn 2.06
F 0.6930 0.6934 0.0000  2 Mg 2.07, 1 Zn 2.17
F 0.7879 0.2126 0.7817  1 Mg 2.00, 1 Zn 2.06
F 0.2120 0.7873 0.7817  1 Mg 2.00, 1 Zn 2.06
F 0.3310 0.3306 0.4999  2 Mg 2.10, 1 Sn 2.34
F 0.7880 0.2127 0.2183  1 Mg 2.00, 1 Zn 2.06
Zn 0.0000 0.0000 0.0000  6 F 2.06-2.17
Mg 0.5000 0.5000 0.2368  6 F 2.00-2.10
Mg 0.5000 0.5000 0.7632  6 F 2.00-2.10
Sn 0.0000 0.0000 0.5000  6 F 2.34-2.37

V = 13.49 Å³/atom
DFT total energy = -57.7 eV per cell
energy relative to the elements, uncorrected = -2857 meV per atom

***

First-principles (PBE) data for a relaxed structure of TiBeS, as listed in Alexandria via LeMat-Bulk.

abc: 3.3970 3.3968 10.7979
angles: 90.21 80.95 60.00
Closest atoms and distances in Å follow each position.
Fractional coordinates of all 6 atoms:
S 0.7744 0.6162 0.8349  3 Ti 2.34
S 0.2256 0.3838 0.1651  3 Ti 2.34
Ti 0.1892 0.9074 0.7143  3 S 2.34
Ti 0.8108 0.0926 0.2857  3 S 2.34
Be 0.6382 0.1812 0.5424  3 Be 2.16
Be 0.3618 0.8188 0.4576  3 Be 2.16

V = 17.68 Å³/atom
DFT total energy = -34.1 eV per cell
energy relative to the elements, uncorrected = -440 meV per atom

***

First-principles (PBE) data for a relaxed structure of Mn2HPtW, as listed in Alexandria via LeMat-Bulk.

abc: 3.8675 3.8675 3.7308
angles: 90.00 90.00 90.00
Closest atoms and distances in Å follow each position.
Fractional coordinates of all 5 atoms:
Mn 0.0000 0.5000 0.0000  2 H 1.93
Mn 0.5000 0.0000 0.0000  2 H 1.93
W 0.5000 0.5000 0.5000  8 Mn 2.69, 4 Pt 2.73
H 0.0000 0.0000 0.0000  2 Pt 1.87, 4 Mn 1.93
Pt 0.0000 0.0000 0.5000  2 H 1.87

V = 11.16 Å³/atom
DFT total energy = -40.7 eV per cell

***

First-principles (PBE) data for a relaxed structure of LiAlCr2, as listed in Alexandria via LeMat-Bulk.

abc: 9.1935 9.1935 9.1935
angles: 16.25 16.25 16.25
Closest atoms and distances in Å follow each position.
Fractional coordinates of all 4 atoms:
Cr 0.0039 0.0039 0.0039  6 Cr 2.60, 3 Al 2.63, 3 Li 2.81
Cr 0.4961 0.4961 0.4961  6 Cr 2.60, 3 Al 2.63, 3 Li 2.81
Li 0.2500 0.2500 0.2500  6 Li 2.60, 6 Cr 2.81
Al 0.7500 0.7500 0.7500  6 Al 2.60, 6 Cr 2.63

V = 13.26 Å³/atom
DFT total energy = -23.5 eV per cell
energy of formation from the pure elements = 0.35 eV/atom

***

First-principles (PBE) data for a relaxed structure of ScSbF2, as listed in Alexandria via LeMat-Bulk.

abc: 5.3472 5.3472 6.9839
angles: 67.49 67.49 90.00
Closest atoms and distances in Å follow each position.
Fractional coordinates of all 8 atoms:
Sb 0.7500 0.2500 0.5000  8 F 3.33
Sb 0.0000 0.0000 0.0000  8 F 3.33
Sc 0.5000 0.5000 0.0000  4 F 1.99
Sc 0.2500 0.7500 0.5000  4 F 1.99
F 0.3750 0.6259 0.7500  2 Sc 1.99
F 0.3759 0.6250 0.2500  2 Sc 1.99
F 0.8750 0.6241 0.7500  2 Sc 1.99
F 0.3741 0.1250 0.2500  2 Sc 1.99

V = 20.99 Å³/atom
DFT total energy = -45.6 eV per cell
energy relative to the elements, uncorrected = -2152 meV per atom

***

> Look up the DFT total energy of the fourth one.

-57.7 eV per cell

***

> Among the records above, which one has the highest DFT total energy?

Li4PmGa

***

> Number 5 is which compound?

TiBeS